Record 1
# Mg4FeO5 GGA-PBEsol relaxed
# Energy relative to the lowest polymorph listed for this composition ... 1.55 kJ/mol of atoms
# Total energy ... -131.05 eV per cell
# Fermi-level density of states ... 4.37 states/eV per cell
# Magnetic moment ... 0.400 μB/atom
data_Mg4FeO5
_chemical_formula_sum 'Mg8 Fe2 O10'
_cell_length_a 2.976
_cell_length_b 4.207
_cell_length_c 15.049
_cell_angle_alpha 90.00
_cell_angle_beta 90.00
_cell_angle_gamma 90.00
_symmetry_space_group_name_H-M 'I m m m'
_symmetry_Int_Tables_number 71
_symmetry_space_group_name_Hall '-I 2 2'
loop_
_atom_site_label
_atom_site_type_symbol
_atom_site_fract_x
_atom_site_fract_y
_atom_site_fract_z
_atom_site_occupancy
Mg1 Mg 0.000 0.000 0.100 1
Mg2 Mg 0.000 0.000 0.299 1
Fe1 Fe 0.000 0.000 0.500 1
O1 O 0.000 0.500 0.104 1
O2 O 0.000 0.500 0.300 1
O3 O 0.000 0.500 0.500 1


Record 2
# MgFe3O GGA-PBEsol relaxed
# Total energy ... -34.84 eV per cell
# Fermi-level density of states ... 3.02 states/eV per cell
# Magnetic moment ... 1.193 μB/atom
data_MgFe3O
_chemical_formula_sum 'Mg1 Fe3 O1'
_cell_length_a 3.827
_cell_length_b 3.827
_cell_length_c 3.827
_cell_angle_alpha 90.00
_cell_angle_beta 90.00
_cell_angle_gamma 90.00
_symmetry_space_group_name_H-M 'P m -3 m'
_symmetry_Int_Tables_number 221
_symmetry_space_group_name_Hall '-P 4 2 3'
loop_
_atom_site_label
_atom_site_type_symbol
_atom_site_fract_x
_atom_site_fract_y
_atom_site_fract_z
_atom_site_occupancy
Mg1 Mg 0.000 0.000 0.000 1
Fe1 Fe 0.000 0.500 0.500 1
O1 O 0.500 0.500 0.500 1